Below is an optimized crystal structure of YZrGa4Ir2, with properties calculated at the PBE level.

Properties
- E: -6.3078 eV per atom
- Spin magnetization: 0.00 μB/atom

a b c (Å): 4.245 6.677 5.425
angles (deg): 90.00 113.00 90.00
Sites, in units of the cell vectors:
Zr 0.919 0.500 0.838
Ir 0.793 0.000 0.585
Ga 0.368 0.796 0.735
Ir 0.205 0.500 0.411
Ga 0.634 0.695 0.267
Ga 0.634 0.305 0.267
Y 0.081 0.000 0.161
Ga 0.368 0.204 0.735

Below is an optimized crystal structure of ZnGa2Ir, with properties calculated at the PBE level.

Properties
- E: -4.0250 eV per atom
- Spin magnetization: 0.00 μB/atom

a b c (Å): 4.416 4.416 4.416
angles (deg): 60.00 60.00 60.00
Sites, in units of the cell vectors:
Ga 0.500 0.500 0.500
Ga 0.750 0.750 0.750
Zn 0.250 0.250 0.250
Ir 0.000 0.000 0.000

Below is an optimized crystal structure of ZnGa4Ir5, with properties calculated at the PBE level.

Properties
- E: -6.1488 eV per atom
- Spin magnetization: 0.00 μB/atom

a b c (Å): 3.047 3.047 15.229
angles (deg): 90.00 90.00 90.00
Sites, in units of the cell vectors:
Ir 0.500 0.500 0.300
Ga 0.000 0.000 0.804
Zn 0.000 0.000 0.000
Ir 0.500 0.500 0.898
Ga 0.000 0.000 0.601
Ir 0.500 0.500 0.700
Ir 0.500 0.500 0.102
Ir 0.500 0.500 0.500
Ga 0.000 0.000 0.196
Ga 0.000 0.000 0.399